# LaTb3Pm2P6

A relaxed structure of LaTb3Pm2P6 (PBE, Alexandria).

Properties
VASP energy = -6.65 eV per atom
Calculated volume = 24.5 A^3/atom
Crystal system = monoclinic
Energy of formation = -1582 meV/atom

Unit cell a=7.1100 b=7.1100 c=7.1080 alpha=99.59 beta=99.59 gamma=119.99
Sites, in units of the cell vectors:
La1 0.0000 0.0000 0.0000
Tb1 0.1663 0.8337 0.5000
Tb2 0.8337 0.1663 0.5000
Tb3 0.5000 0.5000 0.5000
Pm1 0.3332 0.6668 0.0000
Pm2 0.6668 0.3332 0.0000
P1 0.9139 0.5772 0.7417
P2 0.7494 0.7494 0.2582
P3 0.0861 0.4228 0.2583
P4 0.5772 0.9139 0.7417
P5 0.2506 0.2506 0.7418
P6 0.4228 0.0861 0.2583